DFT (meta-GGA SCAN) results for a crystal of Nb2P3O12 relaxed with PBEsol.

Uncorrected formation energy: -2.58 eV per atom
Space group: P2_1/c, No. 14

Lattice parameters (Å, degrees): 8.8292 8.8757 15.1367 90.00 125.68 90.00
Last column: nearest neighbours and their distance in Å.
Fractional positions:
Nb 0.1314 0.0341 0.3821  6 O 1.99-2.01
Nb 0.1314 0.4659 0.8821  6 O 1.99-2.01
Nb 0.3670 0.0341 0.1179  6 O 1.99-2.01
Nb 0.3670 0.4659 0.6179  6 O 1.99-2.01
Nb 0.6330 0.5341 0.3821  6 O 1.99-2.01
Nb 0.6330 0.9659 0.8821  6 O 1.99-2.01
Nb 0.8686 0.5341 0.1179  6 O 1.99-2.01
Nb 0.8686 0.9659 0.6179  6 O 1.99-2.01
P 0.0303 0.7500 0.9999  4 O 1.53-1.54
P 0.0303 0.7500 0.4999  4 O 1.53-1.54
P 0.2485 0.1121 0.8558  4 O 1.53-1.54
P 0.2485 0.3879 0.3558  4 O 1.53-1.54
P 0.4630 0.6121 0.8558  4 O 1.53-1.54
P 0.4630 0.8879 0.3558  4 O 1.53-1.54
P 0.5370 0.1121 0.6442  4 O 1.53-1.54
P 0.5370 0.3879 0.1442  4 O 1.53-1.54
P 0.7515 0.6121 0.6442  4 O 1.53-1.54
P 0.7515 0.8879 0.1442  4 O 1.53-1.54
P 0.9697 0.2500 0.0001  4 O 1.53-1.54
P 0.9697 0.2500 0.5001  4 O 1.53-1.54
O 0.0114 0.6633 0.0808  1 P 1.54
O 0.0114 0.8367 0.5808  1 P 1.54
O 0.0677 0.6430 0.9352  1 P 1.53
O 0.0677 0.8570 0.4352  1 P 1.53
O 0.0900 0.0105 0.7680  1 P 1.54
O 0.0900 0.4895 0.2680  1 P 1.54
O 0.1500 0.1630 0.0813  1 P 1.54
O 0.1500 0.3370 0.5813  1 P 1.54
O 0.1900 0.2212 0.3322  1 P 1.54
O 0.1900 0.2788 0.8322  1 P 1.54
O 0.1973 0.6432 0.5649  1 P 1.53
O 0.1973 0.8568 0.0649  1 P 1.53
O 0.2889 0.5905 0.8541  1 P 1.53
O 0.2889 0.9095 0.3541  1 P 1.53
O 0.2931 0.0673 0.9663  1 P 1.53
O 0.2931 0.4327 0.4663  1 P 1.53
O 0.3612 0.0670 0.5334  1 P 1.53
O 0.3612 0.4330 0.0334  1 P 1.53
O 0.4198 0.0904 0.8548  1 P 1.53
O 0.4198 0.4096 0.3548  1 P 1.53
O 0.4467 0.5106 0.7681  1 P 1.54
O 0.4467 0.9894 0.2681  1 P 1.54
O 0.4748 0.7212 0.3324  1 P 1.54
O 0.4748 0.7788 0.8324  1 P 1.54
O 0.5252 0.2212 0.1676  1 P 1.54
O 0.5252 0.2788 0.6676  1 P 1.54
O 0.5533 0.0106 0.7319  1 P 1.54
O 0.5533 0.4894 0.2319  1 P 1.54
O 0.5802 0.5904 0.6452  1 P 1.53
O 0.5802 0.9096 0.1452  1 P 1.53
O 0.6388 0.5670 0.9666  1 P 1.53
O 0.6388 0.9330 0.4666  1 P 1.53
O 0.7069 0.5673 0.5337  1 P 1.53
O 0.7069 0.9327 0.0337  1 P 1.53
O 0.7111 0.0905 0.6459  1 P 1.53
O 0.7111 0.4095 0.1459  1 P 1.53
O 0.8027 0.1432 0.9351  1 P 1.53
O 0.8027 0.3568 0.4351  1 P 1.53
O 0.8100 0.7212 0.1678  1 P 1.54
O 0.8100 0.7788 0.6678  1 P 1.54
O 0.8500 0.6630 0.4187  1 P 1.54
O 0.8500 0.8370 0.9187  1 P 1.54
O 0.9100 0.5105 0.7320  1 P 1.54
O 0.9100 0.9895 0.2320  1 P 1.54
O 0.9323 0.1430 0.5648  1 P 1.53
O 0.9323 0.3570 0.0648  1 P 1.53
O 0.9886 0.1633 0.4192  1 P 1.54
O 0.9886 0.3367 0.9192  1 P 1.54